{
  "formula": "RhAuS2",
  "functional": "PBE",
  "state": "optimized geometry",
  "energy_ev_per_atom": -4.737,
  "spacegroup": "I4_1/amd",
  "lattice_angstrom": [[-0.1144, 4.8900, -0.8545], [-4.1332, -0.5672, -2.6925], [-5.2468, 2.8989, 2.8652]],
  "species": ["Rh", "Au", "S", "S", "S", "Au", "Rh", "S"],
  "frac_coords": [[0.5000, 0.5000, 0.0000], [0.7500, 0.2500, 0.5000], [0.2874, 0.2874, 0.4251], [0.4626, 0.9626, 0.0749], [0.0374, 0.5374, 0.9251], [0.0000, 0.0000, 0.0000], [0.2500, 0.7500, 0.5000], [0.7126, 0.7126, 0.5749]]
}